(1)
Computed, not measured: crystalline MgAlGaPd at its relaxed geometry at the PBE level of DFT.

Properties
- Offset from the most stable computed form: 0 meV/atom

```
data_MgAlGaPd
_chemical_formula_sum 'Mg4 Al4 Ga4 Pd4'
_cell_length_a 6.400
_cell_length_b 6.400
_cell_length_c 6.400
_cell_angle_alpha 90.00
_cell_angle_beta 90.00
_cell_angle_gamma 90.00
_space_group_name_H-M_alt 'F -4 3 m'
_space_group_IT_number 216
_space_group_name_Hall 'F -4 2 3'
loop_
_atom_site_label
_atom_site_fract_x
_atom_site_fract_y
_atom_site_fract_z
Mg1 0.000 0.000 0.000
Al1 0.000 0.000 0.500
Ga1 0.250 0.250 0.750
Pd1 0.250 0.250 0.250
```


(2)
Computed, not measured: crystalline Mg4AlGaPt2 at its relaxed geometry at the PBE level of DFT.

Properties
- Raw total energy: -3.821 eV per atom

```
data_Mg4AlGaPt2
_chemical_formula_sum 'Mg4 Al1 Ga1 Pt2'
_cell_length_a 4.3989
_cell_length_b 4.3989
_cell_length_c 8.5935
_cell_angle_alpha 90.00
_cell_angle_beta 90.00
_cell_angle_gamma 120.00
_space_group_name_H-M_alt 'P -6 m 2'
_space_group_IT_number 187
_space_group_name_Hall 'P -6 2'
loop_
_atom_site_label
_atom_site_fract_x
_atom_site_fract_y
_atom_site_fract_z
Mg1 0.0000 0.0000 0.1690
Mg2 0.3333 0.6667 0.3310
Al1 0.6667 0.3333 0.5000
Ga1 0.6667 0.3333 0.0000
Pt1 0.0000 0.0000 0.5000
Pt2 0.3333 0.6667 0.0000
```


(3)
Computed, not measured: crystalline Mg4AlGaPt2 at its relaxed geometry at the PBE level of DFT.

Properties
- Raw total energy: -3.820 eV per atom

```
data_Mg4AlGaPt2
_chemical_formula_sum 'Mg8 Al2 Ga2 Pt4'
_cell_length_a 8.599
_cell_length_b 4.384
_cell_length_c 7.631
_cell_angle_alpha 90.00
_cell_angle_beta 90.00
_cell_angle_gamma 90.00
_space_group_name_H-M_alt 'A m m 2'
_space_group_IT_number 38
loop_
_space_group_symop_operation_xyz
'x,y,z'
'-x,-y,z'
'-x,y,z'
'x,-y,z'
'x,y+1/2,z+1/2'
'-x,-y+1/2,z+1/2'
'-x,y+1/2,z+1/2'
'x,-y+1/2,z+1/2'
loop_
_atom_site_label
_atom_site_fract_x
_atom_site_fract_y
_atom_site_fract_z
Mg1 0.168 0.000 0.000
Mg2 0.332 0.000 0.331
Al1 0.500 0.000 0.664
Ga1 0.000 0.000 0.668
Pt1 0.000 0.000 0.335
Pt2 0.500 0.000 0.996
```


(4)
Computed, not measured: crystalline Sm3Mg3Al2Ga at its relaxed geometry at the PBE level of DFT.

Properties
- Raw total energy: -3.631 eV per atom

```
data_Sm3Mg3Al2Ga
_chemical_formula_sum 'Sm3 Mg3 Al2 Ga1'
_cell_length_a 7.4834
_cell_length_b 7.4834
_cell_length_c 4.5325
_cell_angle_alpha 90.00
_cell_angle_beta 90.00
_cell_angle_gamma 120.00
_space_group_name_H-M_alt 'P -6 2 m'
_space_group_IT_number 189
_space_group_name_Hall 'P -6 -2'
loop_
_atom_site_label
_atom_site_fract_x
_atom_site_fract_y
_atom_site_fract_z
Sm1 0.0000 0.5785 0.0000
Mg1 0.0000 0.2403 0.5000
Al1 0.3333 0.6667 0.5000
Ga1 0.0000 0.0000 0.0000
```


(5)
Computed, not measured: crystalline TbTm2Mg3AlGa2 at its relaxed geometry at the PBE level of DFT.

Properties
- Raw total energy: -3.538 eV per atom

```
data_TbTm2Mg3AlGa2
_chemical_formula_sum 'Tb2 Tm4 Mg6 Al2 Ga4'
_cell_length_a 4.482
_cell_length_b 12.570
_cell_length_c 7.206
_cell_angle_alpha 90.00
_cell_angle_beta 90.00
_cell_angle_gamma 90.00
_space_group_name_H-M_alt 'A m m 2'
_space_group_IT_number 38
loop_
_space_group_symop_operation_xyz
'x,y,z'
'-x,-y,z'
'-x,y,z'
'x,-y,z'
'x,y+1/2,z+1/2'
'-x,-y+1/2,z+1/2'
'-x,y+1/2,z+1/2'
'x,-y+1/2,z+1/2'
loop_
_atom_site_label
_atom_site_fract_x
_atom_site_fract_y
_atom_site_fract_z
Tb1 0.000 0.000 0.000
Tm1 0.000 0.218 0.347
Mg1 0.500 0.000 0.320
Mg2 0.500 0.122 0.686
Al1 0.000 0.000 0.561
Ga1 0.500 0.168 0.065
```


(6)
Computed, not measured: crystalline Tb2TmMg3AlGa2 at its relaxed geometry at the PBE level of DFT.

Properties
- Raw total energy: -3.564 eV per atom

```
data_Tb2TmMg3AlGa2
_chemical_formula_sum 'Tb4 Tm2 Mg6 Al2 Ga4'
_cell_length_a 4.495
_cell_length_b 12.537
_cell_length_c 7.291
_cell_angle_alpha 90.00
_cell_angle_beta 90.00
_cell_angle_gamma 90.00
_space_group_name_H-M_alt 'A m m 2'
_space_group_IT_number 38
loop_
_space_group_symop_operation_xyz
'x,y,z'
'-x,-y,z'
'-x,y,z'
'x,-y,z'
'x,y+1/2,z+1/2'
'-x,-y+1/2,z+1/2'
'-x,y+1/2,z+1/2'
'x,-y+1/2,z+1/2'
loop_
_atom_site_label
_atom_site_fract_x
_atom_site_fract_y
_atom_site_fract_z
Tb1 0.000 0.217 0.000
Tm1 0.000 0.000 0.348
Mg1 0.500 0.000 0.026
Mg2 0.500 0.122 0.660
Al1 0.000 0.000 0.779
Ga1 0.500 0.165 0.283
```


(7)
Computed, not measured: crystalline Tm3Mg3AlGa2 at its relaxed geometry at the PBE level of DFT.

Properties
- Raw total energy: -3.512 eV per atom

```
data_Tm3Mg3AlGa2
_chemical_formula_sum 'Tm3 Mg3 Al1 Ga2'
_cell_length_a 7.2065
_cell_length_b 7.2065
_cell_length_c 4.4608
_cell_angle_alpha 90.00
_cell_angle_beta 90.00
_cell_angle_gamma 120.00
_space_group_name_H-M_alt 'P -6 2 m'
_space_group_IT_number 189
_space_group_name_Hall 'P -6 -2'
loop_
_atom_site_label
_atom_site_fract_x
_atom_site_fract_y
_atom_site_fract_z
Tm1 0.0000 0.5650 0.0000
Mg1 0.0000 0.2432 0.5000
Al1 0.0000 0.0000 0.0000
Ga1 0.3333 0.6667 0.5000
```


(8)
Computed, not measured: crystalline Al2GaMo2 at its relaxed geometry at the PBE level of DFT.

Properties
- Raw total energy: -6.191 eV per atom

```
data_Al2GaMo2
_chemical_formula_sum 'Al4 Ga2 Mo4'
_cell_length_a 3.577
_cell_length_b 3.577
_cell_length_c 13.146
_cell_angle_alpha 90.00
_cell_angle_beta 90.00
_cell_angle_gamma 90.00
_space_group_name_H-M_alt 'I 4/m m m'
_space_group_IT_number 139
_space_group_name_Hall '-I 4 2'
loop_
_atom_site_label
_atom_site_fract_x
_atom_site_fract_y
_atom_site_fract_z
Al1 0.000 0.500 0.250
Ga1 0.000 0.000 0.000
Mo1 0.000 0.000 0.406
```


(9)
Computed, not measured: crystalline AlGa2Mo at its relaxed geometry at the PBE level of DFT.

Properties
- Raw total energy: -4.825 eV per atom

```
data_AlGa2Mo
_chemical_formula_sum 'Al4 Ga8 Mo4'
_cell_length_a 6.339
_cell_length_b 6.339
_cell_length_c 6.339
_cell_angle_alpha 90.00
_cell_angle_beta 90.00
_cell_angle_gamma 90.00
_space_group_name_H-M_alt 'F -4 3 m'
_space_group_IT_number 216
_space_group_name_Hall 'F -4 2 3'
loop_
_atom_site_label
_atom_site_fract_x
_atom_site_fract_y
_atom_site_fract_z
Al1 0.000 0.000 0.000
Ga1 0.000 0.000 0.500
Ga2 0.250 0.250 0.250
Mo1 0.250 0.250 0.750
```


(10)
Computed, not measured: crystalline AlGaMo at its relaxed geometry at the PBE level of DFT.

Properties
- Raw total energy: -5.429 eV per atom

```
data_AlGaMo
_chemical_formula_sum 'Al4 Ga4 Mo4'
_cell_length_a 6.090
_cell_length_b 6.090
_cell_length_c 6.090
_cell_angle_alpha 90.00
_cell_angle_beta 90.00
_cell_angle_gamma 90.00
_space_group_name_H-M_alt 'F -4 3 m'
_space_group_IT_number 216
_space_group_name_Hall 'F -4 2 3'
loop_
_atom_site_label
_atom_site_fract_x
_atom_site_fract_y
_atom_site_fract_z
Al1 0.000 0.000 0.000
Ga1 0.000 0.000 0.500
Mo1 0.250 0.250 0.250
```


(11)
Computed, not measured: crystalline AlGaMo4N2 at its relaxed geometry at the PBE level of DFT.

Properties
- Raw total energy: -8.519 eV per atom

```
data_AlGaMo4N2
_chemical_formula_sum 'Al1 Ga1 Mo4 N2'
_cell_length_a 2.8645
_cell_length_b 2.8645
_cell_length_c 14.5336
_cell_angle_alpha 90.00
_cell_angle_beta 90.00
_cell_angle_gamma 120.00
_space_group_name_H-M_alt 'P -6 m 2'
_space_group_IT_number 187
_space_group_name_Hall 'P -6 2'
loop_
_atom_site_label
_atom_site_fract_x
_atom_site_fract_y
_atom_site_fract_z
Al1 0.0000 0.0000 0.0000
Ga1 0.6667 0.3333 0.5000
Mo1 0.0000 0.0000 0.3468
Mo2 0.6667 0.3333 0.1544
N1 0.3333 0.6667 0.2507
```


(12)
Computed, not measured: crystalline AlGaW4N2 at its relaxed geometry at the PBE level of DFT.

Properties
- Raw total energy: -9.372 eV per atom

```
data_AlGaW4N2
_chemical_formula_sum 'Al1 Ga1 W4 N2'
_cell_length_a 2.8387
_cell_length_b 2.8387
_cell_length_c 14.8525
_cell_angle_alpha 90.00
_cell_angle_beta 90.00
_cell_angle_gamma 120.00
_space_group_name_H-M_alt 'P -6 m 2'
_space_group_IT_number 187
_space_group_name_Hall 'P -6 2'
loop_
_atom_site_label
_atom_site_fract_x
_atom_site_fract_y
_atom_site_fract_z
Al1 0.0000 0.0000 0.0000
Ga1 0.3333 0.6667 0.5000
W1 0.0000 0.0000 0.3486
W2 0.3333 0.6667 0.1525
N1 0.6667 0.3333 0.2509
```


(13)
Computed, not measured: crystalline Zr4AlGaN2 at its relaxed geometry at the PBE level of DFT.

Properties
- Raw total energy: -8.313 eV per atom

```
data_Zr4AlGaN2
_chemical_formula_sum 'Zr4 Al1 Ga1 N2'
_cell_length_a 3.2645
_cell_length_b 3.2645
_cell_length_c 14.1788
_cell_angle_alpha 90.00
_cell_angle_beta 90.00
_cell_angle_gamma 120.00
_space_group_name_H-M_alt 'P -6 m 2'
_space_group_IT_number 187
_space_group_name_Hall 'P -6 2'
loop_
_atom_site_label
_atom_site_fract_x
_atom_site_fract_y
_atom_site_fract_z
Zr1 0.0000 0.0000 0.1580
Zr2 0.3333 0.6667 0.3381
Al1 0.0000 0.0000 0.5000
Ga1 0.3333 0.6667 0.0000
N1 0.6667 0.3333 0.2477
```